Density functional theory data (PBEsol) for crystalline K2ScMo at its relaxed geometry.

Summary:
- calculated formation energy (eV/f.u.) = 5.1
- uncorrected energy (eV per atom) = -3.89
- relative energy among the computed polymorphs (eV/f.u.) = 1.43
- density (g/cm³) = 3.6

a = 2.940 Å, b = 2.940 Å, c = 12.816 Å
α = 90.00°, β = 90.00°, γ = 112.94°
Fractional positions:
K1 0.000 0.000 0.231
K2 0.000 0.000 0.769
Sc1 0.500 0.500 0.500
Mo1 0.500 0.500 0.000